{"formula": "ThBeNb", "functional": "PBE-GGA", "state": "optimized geometry", "crystal_system": "cubic", "dft_energy_ev_per_cell": -19.9, "lattice": [[0.000, 3.161, 3.161], [3.161, 0.000, 3.161], [3.161, 3.161, 0.000]], "species": ["Th", "Be", "Nb"], "frac_coords": [[0.000, 0.000, 0.000], [0.750, 0.750, 0.750], [0.500, 0.500, 0.500]]}

{"formula": "BaPrPBr", "functional": "PBE-GGA", "state": "optimized geometry", "crystal_system": "trigonal", "dft_energy_ev_per_cell": -19.8, "lattice": [[2.183, 1.260, 7.753], [-2.183, 1.260, 7.753], [0.000, -2.520, 7.753]], "species": ["Ba", "Pr", "P", "Br"], "frac_coords": [[0.000, 0.000, 0.000], [0.525, 0.525, 0.525], [0.253, 0.253, 0.253], [0.770, 0.770, 0.770]]}

{"formula": "Os2C", "functional": "PBE-GGA", "state": "optimized geometry", "crystal_system": "monoclinic", "dft_energy_ev_per_cell": -248.3, "lattice": [[2.358, -1.361, 0.000], [2.358, 1.361, 0.000], [-1.514, 0.000, 43.498]], "species": ["Os", "Os", "Os", "Os", "Os", "Os", "Os", "Os", "Os", "Os", "Os", "Os", "Os", "Os", "Os", "Os", "C", "C", "C", "C", "C", "C", "C", "C"], "frac_coords": [[0.083, 0.083, 0.223], [0.115, 0.115, 0.324], [0.144, 0.144, 0.424], [0.175, 0.175, 0.525], [0.205, 0.205, 0.626], [0.234, 0.234, 0.727], [0.296, 0.296, 0.883], [0.398, 0.398, 0.172], [0.602, 0.602, 0.828], [0.704, 0.704, 0.117], [0.766, 0.766, 0.273], [0.795, 0.795, 0.374], [0.825, 0.825, 0.475], [0.856, 0.856, 0.576], [0.885, 0.885, 0.676], [0.917, 0.917, 0.777], [0.016, 0.016, 0.053], [0.028, 0.028, 0.087], [0.335, 0.335, 0.006], [0.346, 0.346, 0.041], [0.654, 0.654, 0.959], [0.665, 0.665, 0.994], [0.972, 0.972, 0.913], [0.984, 0.984, 0.947]]}

{"formula": "Ni3Bi2S2", "functional": "PBE-GGA", "state": "optimized geometry", "crystal_system": "orthorhombic", "dft_energy_ev_per_cell": -31.8, "lattice": [[1.611, -11.464, 0.000], [1.611, 11.464, 0.000], [0.000, 0.000, 3.184]], "species": ["Ni", "Ni", "Ni", "Bi", "Bi", "S", "S"], "frac_coords": [[0.000, 0.000, 0.000], [0.109, 0.891, 0.000], [0.891, 0.109, 0.000], [0.315, 0.685, 0.500], [0.685, 0.315, 0.500], [0.442, 0.558, 0.500], [0.558, 0.442, 0.500]]}

{"formula": "SmHgSb", "functional": "PBE-GGA", "state": "optimized geometry", "crystal_system": "cubic", "dft_energy_ev_per_cell": -10.7, "lattice": [[0.000, 3.659, 3.659], [3.659, 0.000, 3.659], [3.659, 3.659, 0.000]], "species": ["Sm", "Hg", "Sb"], "frac_coords": [[0.000, 0.000, 0.000], [0.750, 0.750, 0.750], [0.250, 0.250, 0.250]]}

{"formula": "TaZnTe", "functional": "PBE-GGA", "state": "optimized geometry", "crystal_system": "cubic", "dft_energy_ev_per_cell": -14.5, "lattice": [[0.000, 3.249, 3.249], [3.249, 0.000, 3.249], [3.249, 3.249, 0.000]], "species": ["Ta", "Zn", "Te"], "frac_coords": [[0.000, 0.000, 0.000], [0.250, 0.250, 0.250], [0.750, 0.750, 0.750]]}

{"formula": "Ac3InPt8", "functional": "PBE-GGA", "state": "optimized geometry", "crystal_system": "trigonal", "dft_energy_ev_per_cell": -74.4, "lattice": [[2.812, 1.624, 9.121], [-2.812, 1.624, 9.121], [0.000, -3.247, 9.121]], "species": ["Ac", "Ac", "Ac", "In", "Pt", "Pt", "Pt", "Pt", "Pt", "Pt", "Pt", "Pt"], "frac_coords": [[0.000, 0.000, 0.000], [0.129, 0.129, 0.129], [0.514, 0.514, 0.514], [0.641, 0.641, 0.641], [0.069, 0.069, 0.564], [0.069, 0.564, 0.069], [0.069, 0.567, 0.567], [0.317, 0.317, 0.317], [0.564, 0.069, 0.069], [0.567, 0.069, 0.567], [0.567, 0.567, 0.069], [0.817, 0.817, 0.817]]}

{"formula": "NbCoBOs", "functional": "PBE-GGA", "state": "optimized geometry", "crystal_system": "cubic", "dft_energy_ev_per_cell": -32.9, "lattice": [[0.000, 2.971, 2.971], [2.971, 0.000, 2.971], [2.971, 2.971, 0.000]], "species": ["Nb", "Co", "B", "Os"], "frac_coords": [[0.000, 0.000, 0.000], [0.500, 0.500, 0.500], [0.250, 0.250, 0.250], [0.750, 0.750, 0.750]]}

{"formula": "Cs3TmBr6", "functional": "PBE-GGA", "state": "optimized geometry", "crystal_system": "monoclinic", "dft_energy_ev_per_cell": -71.5, "lattice": [[8.355, 0.000, 0.000], [0.000, 8.826, 0.000], [-8.238, 0.000, 11.929]], "species": ["Cs", "Cs", "Cs", "Cs", "Cs", "Cs", "Tm", "Tm", "Br", "Br", "Br", "Br", "Br", "Br", "Br", "Br", "Br", "Br", "Br", "Br"], "frac_coords": [[0.000, 0.000, 0.000], [0.000, 0.500, 0.500], [0.222, 0.068, 0.747], [0.222, 0.432, 0.247], [0.778, 0.568, 0.753], [0.778, 0.932, 0.253], [0.500, 0.000, 0.500], [0.500, 0.500, 0.000], [0.184, 0.173, 0.452], [0.184, 0.327, 0.952], [0.273, 0.739, 0.435], [0.273, 0.761, 0.935], [0.392, 0.042, 0.283], [0.392, 0.458, 0.783], [0.608, 0.542, 0.217], [0.608, 0.958, 0.717], [0.727, 0.239, 0.065], [0.727, 0.261, 0.565], [0.816, 0.673, 0.048], [0.816, 0.827, 0.548]]}

{"formula": "CsRbPm", "functional": "PBE-GGA", "state": "optimized geometry", "crystal_system": "cubic", "dft_energy_ev_per_cell": -3.4, "lattice": [[0.000, 4.866, 4.866], [4.866, 0.000, 4.866], [4.866, 4.866, 0.000]], "species": ["Cs", "Rb", "Pm"], "frac_coords": [[0.000, 0.000, 0.000], [0.250, 0.250, 0.250], [0.750, 0.750, 0.750]]}

{"formula": "Rb3DyI6", "functional": "PBE-GGA", "state": "optimized geometry", "crystal_system": "monoclinic", "dft_energy_ev_per_cell": -63.1, "lattice": [[8.694, 0.000, 0.000], [0.000, 9.302, 0.000], [-8.437, 0.000, 12.441]], "species": ["Rb", "Rb", "Rb", "Rb", "Rb", "Rb", "Dy", "Dy", "I", "I", "I", "I", "I", "I", "I", "I", "I", "I", "I", "I"], "frac_coords": [[0.000, 0.000, 0.000], [0.000, 0.500, 0.500], [0.210, 0.085, 0.745], [0.210, 0.415, 0.245], [0.790, 0.585, 0.755], [0.790, 0.915, 0.255], [0.500, 0.000, 0.500], [0.500, 0.500, 0.000], [0.160, 0.174, 0.442], [0.160, 0.326, 0.942], [0.267, 0.725, 0.427], [0.267, 0.775, 0.927], [0.407, 0.049, 0.275], [0.407, 0.451, 0.775], [0.593, 0.549, 0.225], [0.593, 0.951, 0.725], [0.733, 0.225, 0.073], [0.733, 0.275, 0.573], [0.840, 0.674, 0.058], [0.840, 0.826, 0.558]]}

{"formula": "CsFe", "functional": "PBE-GGA", "state": "optimized geometry", "crystal_system": "cubic", "dft_energy_ev_per_cell": -5.8, "lattice": [[0.000, 4.130, 4.130], [4.130, 0.000, 4.130], [4.130, 4.130, 0.000]], "species": ["Cs", "Fe"], "frac_coords": [[0.000, 0.000, 0.000], [0.750, 0.750, 0.750]]}